# 1
## SrPtSe (PBE)

Data for a relaxed SrPtSe crystal.

Structure (extended XYZ):
```
6
Lattice="-0.677 2.967 -2.572 -2.799 -4.127 -4.025 -5.708 0.892 2.539" Properties=species:S:1:pos:R:3 pbc="T T T"
Pt -5.098 2.255 -1.023
Sr -5.789 -0.195 -3.667
Pt -7.897 -2.216 -2.358
Se -4.301 -0.179 -0.954
Se -2.986 -0.675 -4.966
Sr -1.499 -0.658 -2.253
```


# 2
## SrPt2Se (PBE)

Data for a relaxed SrPt2Se crystal.

Structure (extended XYZ):
```
4
Lattice="-3.039 0.249 -1.347 -1.364 -0.272 3.030 0.260 7.410 0.782" Properties=species:S:1:pos:R:3 pbc="T T T"
Sr -2.007 5.546 1.428
Pt 0.014 0.388 0.041
Se -2.137 1.841 1.037
Pt 0.116 3.317 0.350
```


# 3
## SrPt2Se (PBE)

Data for a relaxed SrPt2Se crystal.

Structure (extended XYZ):
```
4
Lattice="5.860 -0.009 0.020 -2.964 5.055 0.020 1.440 2.509 2.942" Properties=species:S:1:pos:R:3 pbc="T T T"
Pt 1.448 2.523 0.020
Se 3.650 1.250 1.481
Sr -0.762 3.782 1.481
Pt 0.000 0.000 0.000
```


# 4
## SrPt3Se (PBE)

Data for a relaxed SrPt3Se crystal.

Structure (extended XYZ):
```
5
Lattice="-2.160 4.311 -1.964 -4.365 -2.651 -1.017 -1.842 1.225 4.714" Properties=species:S:1:pos:R:3 pbc="T T T"
Se -4.184 1.443 0.866
Pt -1.080 2.156 -0.982
Pt -2.182 -1.325 -0.509
Pt -0.921 0.612 2.357
Sr 0.000 0.000 0.000
```


# 5
## SrPtSe (PBE)

Data for a relaxed SrPtSe crystal.

Structure (extended XYZ):
```
6
Lattice="-1.668 3.659 -1.415 -3.995 -4.252 -6.263 -3.998 -6.685 0.293" Properties=species:S:1:pos:R:3 pbc="T T T"
Pt -7.426 -5.408 -7.026
Sr -4.595 -1.089 -5.641
Sr -2.264 1.209 -2.441
Pt -2.596 -1.769 -3.334
Se -6.049 -4.141 -5.388
Se -4.809 -2.424 -2.402
```


# 6
## SrPtSe (PBE)

Data for a relaxed SrPtSe crystal.

Structure (extended XYZ):
```
3
Lattice="6.358 -0.134 0.107 4.227 3.717 -0.016 2.131 -0.978 3.727" Properties=species:S:1:pos:R:3 pbc="T T T"
Sr 7.773 2.066 1.300
Pt 10.223 3.388 0.246
Se 5.304 0.734 2.362
```


Number 1: E_form (uncorrected) -1.134 eV/atom. Number 2: E_form (uncorrected) -0.150 eV/atom. Number 3: E_form (uncorrected) -0.391 eV/atom. Number 4: E_form (uncorrected) 1.638 eV/atom. Number 5: E_form (uncorrected) -1.164 eV/atom. Number 6: E_form (uncorrected) -0.642 eV/atom.